Here is an optimized crystal structure of Be2Nb2Co5Ge from Alexandria via LeMat-Bulk. Energies are from GGA-PBE.

Calculated values
- Total magnetization: 0.00 μB/f.u.
- DOS(E_F): 16.16 states/eV per cell
- ΔH_f (0 K): -2.8 eV/f.u.

Cell and atoms, written as CIF:
```
data_Be2Nb2Co5Ge
_cell_length_a 8.579
_cell_length_b 8.579
_cell_length_c 3.136
_cell_angle_alpha 90.00
_cell_angle_beta 90.00
_cell_angle_gamma 90.00
_space_group_name_H-M_alt 'P 4/m b m'
_space_group_IT_number 127
_space_group_name_Hall '-P 4 2ab'
loop_
_atom_site_label
_atom_site_fract_x
_atom_site_fract_y
_atom_site_fract_z
Be1 0.118 0.382 0.000
Nb1 0.176 0.676 0.000
Co1 0.000 0.500 0.500
Co2 0.066 0.213 0.500
Ge1 0.000 0.000 0.000
```